The following is a DFT calculation (meta-GGA SCAN) of a crystal of BaY2TlCu relaxed with PBEsol.

VASP energy = -181.2 eV for the cell shown
DOS at the Fermi energy = 1.0579 states/eV/atom
Energy of formation from the pure elements = 0.32 eV per atom

a = 5.8100 Å, b = 5.8100 Å, c = 4.9919 Å
α = 90.00°, β = 90.00°, γ = 90.00°
Sites, in units of the cell vectors:
1 Ba 0.0000 0.0000 0.0000
2 Y 0.0000 0.5000 0.5000
3 Y 0.5000 0.0000 0.5000
4 Tl 0.5000 0.5000 0.5000
5 Cu 0.5000 0.5000 0.0000